Computed, not measured: crystalline CaCrTc2 at its relaxed geometry at the PBE level of DFT.

The structure belongs to space group C2/m (No. 12); the cell edges are 9.424, 2.945 and 5.234 Å and the angles 90.00°, 108.00° and 90.00°. Symmetry generates all atoms from Ca at (0.000, 0.000, 0.000), Cr at (0.000, 0.500, 0.500) and Tc at (0.212, 0.000, 0.676).

Its energy relative to the elements is 0.500 eV per atom. The value obtained for the excess energy over the best structure of this formula in the dataset is 0.278 eV per atom.

Computed, not measured: crystalline Pm5Ga3Ge3 at its relaxed geometry at the PBE level of DFT.

The structure belongs to space group P-62m (No. 189); the cell edges are 9.3601, 9.3601 and 4.1432 Å and the angles 90.00°, 90.00° and 120.00°. Symmetry generates all atoms from Pm at (0.0000, 0.2550, 0.0000), Pm at (0.3333, 0.6667, 0.0000), Ga at (0.0000, 0.7650, 0.5000) and Ge at (0.0000, 0.6045, 0.0000).

Its energy relative to the elements is -0.260 eV per atom.

Computed, not measured: crystalline Ba2NdHoS4 at its relaxed geometry at the PBE level of DFT.

The structure belongs to space group P2/m (No. 10); the cell edges are 7.225, 4.173 and 7.539 Å and the angles 90.00°, 108.62° and 90.00°. Symmetry generates all atoms from Ba at (0.000, 0.000, 0.000), Ba at (0.500, 0.500, 0.000), Nd at (0.000, 0.500, 0.500), Ho at (0.500, 0.000, 0.500), S at (0.248, 0.000, 0.715) and S at (0.271, 0.500, 0.289).

As for the raw formation energy: -2.006 eV/atom.

Computed, not measured: crystalline Y2PaPt9 at its relaxed geometry at the PBE level of DFT.

The structure belongs to space group P4/mmm (No. 123); the cell edges are 4.148, 4.148 and 12.401 Å and the angles 90.00°, 90.00° and 90.00°. Symmetry generates all atoms from Y at (0.000, 0.000, 0.163), Pa at (0.000, 0.000, 0.500), Pt at (0.000, 0.500, 0.000), Pt at (0.000, 0.500, 0.337), Pt at (0.500, 0.500, 0.167) and Pt at (0.500, 0.500, 0.500).

Its energy relative to the elements is -1.056 eV per atom.

Computed, not measured: crystalline As2PbO4 at its relaxed geometry at the PBE level of DFT.

The structure belongs to space group P2_1/c (No. 14); the cell edges are 7.387, 12.192 and 6.410 Å and the angles 90.00°, 112.27° and 90.00°. Symmetry generates all atoms from As at (0.132, 0.141, 0.016), As at (0.211, 0.587, 0.305), Pb at (0.486, 0.658, 0.906), O at (0.050, 0.096, 0.243), O at (0.283, 0.017, 0.034), O at (0.309, 0.700, 0.486) and O at (0.325, 0.222, 0.201).

As for the raw formation energy: -1.251 eV/atom.

| no. | spin magnetization (μB per formula unit) | volume (Å³ per cell) |
| --- | --- | --- |
| 1 | 0.00 | 138.1 |
| 2 | 0.27 | 314.4 |
| 3 | 0.00 | 215.4 |
| 4 | 0.00 | 213.4 |
| 5 | 0.00 | 534.3 |